# 1
This record from OQMD describes an optimized crystal structure of AlIn2Pd2. The functional is PBE.

- Energy: -4.476 eV/atom
- Space group: P-3m1

Cell: 4.405 4.405 5.578 Å, 90.00 90.00 120.00°
Element x y z (fractional)
Al (0.000, 0.000, 0.500)
Pd (0.667, 0.333, 0.361)
In (0.333, 0.667, 0.142)
Pd (0.333, 0.667, 0.639)
In (0.667, 0.333, 0.858)

=====

# 2
This record from OQMD describes an optimized crystal structure of KBaTbS3. The functional is PBE.

- Energy: -4.989 eV/atom
- Total magnetic moment: 0.0 μB/cell
- Space group: C2/m

Cell: 9.769 9.769 11.740 Å, 90.14 90.14 24.90°
Element x y z (fractional)
Ba (0.881, 0.881, 0.250)
S (0.096, 0.096, 0.500)
S (0.904, 0.904, 0.999)
Ba (0.119, 0.119, 0.750)
S (0.492, 0.492, 0.250)
S (0.508, 0.508, 0.750)
S (0.904, 0.904, 0.500)
Tb (0.500, 0.500, 0.500)
Tb (0.500, 0.500, 0.000)
K (0.114, 0.114, 0.250)
K (0.886, 0.886, 0.750)
S (0.096, 0.096, 0.001)

=====

# 3
This record from OQMD describes an optimized crystal structure of MgCuPd2. The functional is PBE.

- Energy: -4.191 eV/atom
- Space group: P6_3/mmc

Cell: 4.393 4.393 7.797 Å, 90.00 90.00 120.00°
Element x y z (fractional)
Pd (0.333, 0.667, 0.916)
Cu (0.333, 0.667, 0.250)
Cu (0.667, 0.333, 0.750)
Mg (0.000, 0.000, 0.000)
Mg (0.000, 0.000, 0.500)
Pd (0.333, 0.667, 0.584)
Pd (0.667, 0.333, 0.084)
Pd (0.667, 0.333, 0.416)

=====

# 4
This record from OQMD describes an optimized crystal structure of AlAuS2. The functional is PBE.

- Energy: -4.511 eV/atom
- Space group: P-1

Cell: 5.965 5.981 6.072 Å, 89.82 89.77 89.68°
Element x y z (fractional)
Au (0.500, 0.500, 0.500)
S (0.317, 0.227, 0.000)
Al (0.500, 0.000, 0.750)
Al (0.500, 0.000, 0.250)
S (0.727, 0.181, 0.498)
S (0.683, 0.773, 0.000)
S (0.273, 0.819, 0.502)
Au (0.000, 0.000, 0.000)

=====

# 5
This record from OQMD describes an optimized crystal structure of TmBe2Pt2. The functional is PBE.

- Energy: -5.744 eV/atom
- Total magnetic moment: 0.0 μB/cell
- Space group: P4/nmm

Cell: 3.977 3.977 9.480 Å, 90.00 90.00 90.00°
Element x y z (fractional)
Be (0.000, 0.500, 0.627)
Be (0.500, 0.500, 0.000)
Pt (0.000, 0.500, 0.872)
Be (0.000, 0.000, 0.000)
Pt (0.500, 0.000, 0.128)
Tm (0.000, 0.500, 0.249)
Be (0.500, 0.000, 0.373)
Pt (0.500, 0.500, 0.500)
Pt (0.000, 0.000, 0.500)
Tm (0.500, 0.000, 0.751)

=====

# 6
This record from OQMD describes an optimized crystal structure of Tb3Mg3InPt2. The functional is PBE.

- Energy: -4.411 eV/atom
- Total magnetic moment: 0.0 μB/cell
- Space group: P-62m

Cell: 7.478 7.478 4.236 Å, 90.00 90.00 120.00°
Element x y z (fractional)
Mg (0.258, 0.000, 0.500)
Pt (0.333, 0.667, 0.500)
In (0.000, 0.000, 0.000)
Tb (0.575, 0.000, 0.000)
Tb (0.425, 0.425, 0.000)
Tb (0.000, 0.575, 0.000)
Pt (0.667, 0.333, 0.500)
Mg (0.000, 0.258, 0.500)
Mg (0.742, 0.742, 0.500)

=====

# 7
This record from OQMD describes an optimized crystal structure of Ho3TmAl2C2. The functional is PBE.

- Energy: -5.777 eV/atom
- Total magnetic moment: 0.5 μB/cell
- Space group: P3m1

Cell: 3.531 3.531 15.837 Å, 90.00 90.00 120.00°
Element x y z (fractional)
Ho (0.667, 0.333, 0.585)
Ho (0.000, 0.000, 0.414)
Ho (0.667, 0.333, 0.916)
C (0.333, 0.667, 0.500)
C (0.333, 0.667, 0.001)
Al (0.667, 0.333, 0.248)
Tm (0.000, 0.000, 0.086)
Al (0.000, 0.000, 0.750)

=====

# 8
This record from OQMD describes an optimized crystal structure of Sm3Ni. The functional is PBE.

- DFT formation energy: 166 meV/atom
- Total magnetic moment: 0.0 μB/cell
- Space group: Pm-3m

Cell: 4.688 4.688 4.688 Å, 90.00 90.00 90.00°
Element x y z (fractional)
Sm (0.000, 0.500, 0.500)
Sm (0.500, 0.500, 0.000)
Ni (0.000, 0.000, 0.000)
Sm (0.500, 0.000, 0.500)

=====

# 9
This record from OQMD describes an optimized crystal structure of Ag2Mo. The functional is PBE.

- DFT formation energy: 705 meV/atom
- Excess energy over the best structure of this formula in the dataset: 323 meV per atom
- Total magnetic moment: 0.0 μB/cell
- Space group: P6_3/mmc

Cell: 5.589 5.589 8.001 Å, 90.00 90.00 120.00°
Element x y z (fractional)
Mo (0.667, 0.333, 0.391)
Ag (0.824, 0.648, 0.750)
Ag (0.176, 0.824, 0.250)
Ag (0.648, 0.824, 0.250)
Ag (0.824, 0.176, 0.750)
Mo (0.667, 0.333, 0.109)
Ag (0.000, 0.000, 0.000)
Ag (0.000, 0.000, 0.500)
Mo (0.333, 0.667, 0.891)
Ag (0.176, 0.352, 0.250)
Mo (0.333, 0.667, 0.609)
Ag (0.352, 0.176, 0.750)

=====

# 10
This record from OQMD describes an optimized crystal structure of HoZn2SnIr4. The functional is PBE.

- Energy: -6.168 eV/atom
- Total magnetic moment: 0.0 μB/cell
- Space group: P4/mmm

Cell: 4.480 4.480 6.467 Å, 90.00 90.00 90.00°
Element x y z (fractional)
Zn (0.500, 0.500, 0.500)
Ir (0.000, 0.500, 0.764)
Ir (0.500, 0.000, 0.236)
Sn (0.500, 0.500, 0.000)
Zn (0.000, 0.000, 0.000)
Ir (0.000, 0.500, 0.236)
Ho (0.000, 0.000, 0.500)
Ir (0.500, 0.000, 0.764)

=====

# 11
This record from OQMD describes an optimized crystal structure of PuTlSi. The functional is PBE.

- Excess energy over the best structure of this formula in the dataset: 0 meV per atom
- Total magnetic moment: 6.1 μB/cell
- Space group: F-43m

Cell: 4.775 4.775 4.775 Å, 60.00 60.00 60.00°
Element x y z (fractional)
Si (0.000, 0.000, 0.000)
Pu (0.250, 0.250, 0.250)
Tl (0.750, 0.750, 0.750)

=====

# 12
This record from OQMD describes an optimized crystal structure of TbPPt. The functional is PBE.

- Energy: -6.339 eV/atom
- Total magnetic moment: 0.0 μB/cell
- Space group: P3m1

Cell: 3.982 3.982 13.414 Å, 90.00 90.00 120.00°
Element x y z (fractional)
P (0.000, 0.000, 0.733)
Pt (0.667, 0.333, 0.695)
Tb (0.000, 0.000, 0.527)
Pt (0.667, 0.333, 0.000)
Pt (0.667, 0.333, 0.334)
P (0.333, 0.667, 0.416)
P (0.000, 0.000, 0.252)
Tb (0.333, 0.667, 0.865)
Tb (0.333, 0.667, 0.135)

=====

What is the formula in the ninth record? Ag2Mo